# 1
An optimized crystal structure of CeZr2TaO8, computed with PBE-GGA.

Lattice parameters (Å, degrees): 6.9755 7.0599 6.7183 90.00 90.00 90.00
Space group Cmmm (No. 65)
Inequivalent atoms, fractional coordinates:
1 Ce 0.0000 0.0000 0.0000 x2
2 Zr 0.0000 0.5000 0.2547 x4
3 Ta 0.0000 0.0000 0.5000 x2
4 O 0.0000 0.2940 0.5000 x4
5 O 0.0000 0.3217 0.0000 x4
6 O 0.1977 0.0000 0.2843 x8

Raw formation energy: -3.168 eV per atom
D(E_F): 0.550 states/eV/atom
Volume: 13.8 Å³ per atom

---

# 2
An optimized crystal structure of TbCe6O12, computed with PBE-GGA.

Lattice parameters (Å, degrees): 10.3132 10.3132 9.5604 90.00 90.00 120.00
Space group R-3 (No. 148, hexagonal axes)
Inequivalent atoms, fractional coordinates:
1 Tb 0.0000 0.0000 0.0000 x3
2 Ce 0.0479 0.2564 0.6554 x18
3 O 0.0349 0.2199 0.3974 x18
4 O 0.0363 0.2139 0.8925 x18

Raw formation energy: -3.485 eV per atom
D(E_F): 1.266 states/eV/atom
Volume: 15.4 Å³ per atom